ZnRe2Si after structural relaxation. Source: Alexandria, functional PBE.

Lattice parameters (Å, degrees): 4.219 2.862 5.040 73.39 90.00 90.00
Sites, in units of the cell vectors:
Si (0.000, 0.308, 0.508)
Re (0.500, 0.438, 0.244)
Zn (0.500, 0.703, 0.717)
Re (0.000, 0.051, 0.031)

Results
Size of the total moment in μB per cell: 0.000
Energy in eV per atom: -7.758
Raw formation energy in meV per atom: 140
Symmetry: Pm, No. 6


ZnRe2Si after structural relaxation. Source: Alexandria, functional PBE.

Lattice parameters (Å, degrees): 5.033 4.992 2.747 86.02 76.20 118.49
Sites, in units of the cell vectors:
Zn (0.500, 0.000, 0.500)
Re (0.000, 0.000, 0.000)
Re (0.000, 0.500, 0.500)
Si (0.500, 0.500, 0.000)

Results
Size of the total moment in μB per cell: 0.000
Energy in eV per atom: -7.636
Raw formation energy in meV per atom: 262
Symmetry: C2/m, No. 12


ZnRe2Si after structural relaxation. Source: Alexandria, functional PBE.

Lattice parameters (Å, degrees): 4.470 4.470 4.885 78.50 78.50 36.78
Sites, in units of the cell vectors:
Si (0.250, 0.250, 0.250)
Re (0.990, 0.990, 0.006)
Zn (0.750, 0.750, 0.750)
Re (0.510, 0.510, 0.494)

Results
Size of the total moment in μB per cell: 0.000
Energy in eV per atom: -7.735
Raw formation energy in meV per atom: 163
Symmetry: C2/m, No. 12


ZnRe2Si after structural relaxation. Source: Alexandria, functional PBE.

Lattice parameters (Å, degrees): 8.771 8.771 8.771 18.45 18.45 18.45
Sites, in units of the cell vectors:
Zn (0.751, 0.751, 0.751)
Re (0.249, 0.249, 0.249)
Re (0.997, 0.997, 0.997)
Si (0.503, 0.503, 0.503)

Results
Size of the total moment in μB per cell: 0.000
Energy in eV per atom: -7.853
Raw formation energy in meV per atom: 45
Symmetry: R3m, No. 160